(1)
First-principles (GGA-PBE) data for a relaxed Na3Pm2PuSe6 crystal, as listed in the Alexandria database.

Output
Space group: No. 12
VASP energy in Ry/atom: -0.4146
Crystal system: monoclinic
Density of states at the Fermi level in states/eV/f.u.: 12.91

Unit cell a=7.362 b=7.362 c=7.396 alpha=99.55 beta=99.55 gamma=119.99
Sites, in units of the cell vectors:
1 Na 0.000 0.000 0.000
2 Na 0.333 0.667 0.000
3 Na 0.667 0.333 0.000
4 Pm 0.167 0.833 0.500
5 Pm 0.833 0.167 0.500
6 Pu 0.500 0.500 0.500
7 Se 0.091 0.422 0.266
8 Se 0.247 0.247 0.733
9 Se 0.422 0.091 0.266
10 Se 0.578 0.909 0.734
11 Se 0.753 0.753 0.267
12 Se 0.909 0.578 0.734



(2)
First-principles (GGA-PBE) data for a relaxed NaPm2Pu3Se6 crystal, as listed in the Alexandria database.

Output
Space group: No. 12
VASP energy in Ry/atom: -0.5756
Crystal system: monoclinic
Density of states at the Fermi level in states/eV/f.u.: 35.71

Unit cell a=9.351 b=9.351 c=8.376 alpha=102.53 beta=102.53 gamma=25.78
Sites, in units of the cell vectors:
1 Na 0.000 0.000 0.000
2 Pm 0.333 0.333 0.664
3 Pm 0.667 0.667 0.336
4 Pu 0.000 0.000 0.500
5 Pu 0.334 0.334 0.165
6 Pu 0.666 0.666 0.835
7 Se 0.166 0.166 0.588
8 Se 0.168 0.168 0.082
9 Se 0.500 0.500 0.254
10 Se 0.500 0.500 0.746
11 Se 0.832 0.832 0.918
12 Se 0.834 0.834 0.412



(3)
First-principles (GGA-PBE) data for a relaxed Na3PmPu2Se6 crystal, as listed in the Alexandria database.

Output
Space group: No. 12
VASP energy in Ry/atom: -0.4669
Crystal system: monoclinic
Density of states at the Fermi level in states/eV/f.u.: 21.66

Unit cell a=7.321 b=7.321 c=7.377 alpha=99.52 beta=99.52 gamma=120.00
Sites, in units of the cell vectors:
1 Na 0.000 0.000 0.000
2 Na 0.334 0.666 0.000
3 Na 0.666 0.334 0.000
4 Pm 0.500 0.500 0.500
5 Pu 0.167 0.833 0.500
6 Pu 0.833 0.167 0.500
7 Se 0.085 0.423 0.268
8 Se 0.240 0.240 0.733
9 Se 0.423 0.085 0.268
10 Se 0.577 0.915 0.732
11 Se 0.760 0.760 0.267
12 Se 0.915 0.577 0.732



(4)
First-principles (GGA-PBE) data for a relaxed NaPm3Pu2Se6 crystal, as listed in the Alexandria database.

Output
Space group: No. 12
VASP energy in Ry/atom: -0.5230
Crystal system: monoclinic
Density of states at the Fermi level in states/eV/f.u.: 22.26

Unit cell a=9.377 b=9.377 c=8.384 alpha=103.06 beta=103.06 gamma=25.74
Sites, in units of the cell vectors:
1 Na 0.000 0.000 0.000
2 Pm 0.000 0.000 0.500
3 Pm 0.334 0.334 0.169
4 Pm 0.666 0.666 0.831
5 Pu 0.333 0.333 0.667
6 Pu 0.667 0.667 0.333
7 Se 0.167 0.167 0.085
8 Se 0.167 0.167 0.580
9 Se 0.499 0.499 0.749
10 Se 0.501 0.501 0.251
11 Se 0.833 0.833 0.420
12 Se 0.833 0.833 0.915



(5)
First-principles (GGA-PBE) data for a relaxed NaPm2PuSe4 crystal, as listed in the Alexandria database.

Output
Space group: No. 10
VASP energy in Ry/atom: -0.4826
Crystal system: monoclinic
Density of states at the Fermi level in states/eV/f.u.: 13.62

Unit cell a=7.276 b=4.189 c=7.283 alpha=90.00 beta=109.46 gamma=90.00
Sites, in units of the cell vectors:
1 Na 0.000 0.000 0.000
2 Pm 0.000 0.500 0.500
3 Pm 0.500 0.000 0.500
4 Pu 0.500 0.500 0.000
5 Se 0.252 0.000 0.753
6 Se 0.252 0.500 0.252
7 Se 0.748 0.000 0.247
8 Se 0.748 0.500 0.748



(6)
First-principles (GGA-PBE) data for a relaxed Na2Pm3PuSe6 crystal, as listed in the Alexandria database.

Output
Space group: No. 12
VASP energy in Ry/atom: -0.4421
Crystal system: monoclinic
Density of states at the Fermi level in states/eV/f.u.: 17.60

Unit cell a=7.288 b=7.288 c=7.340 alpha=99.55 beta=99.55 gamma=119.96
Sites, in units of the cell vectors:
1 Na 0.166 0.834 0.000
2 Na 0.834 0.166 0.000
3 Pm 0.000 0.000 0.500
4 Pm 0.331 0.669 0.500
5 Pm 0.669 0.331 0.500
6 Pu 0.500 0.500 0.000
7 Se 0.086 0.416 0.748
8 Se 0.255 0.255 0.255
9 Se 0.416 0.086 0.748
10 Se 0.584 0.914 0.252
11 Se 0.745 0.745 0.745
12 Se 0.914 0.584 0.252



(7)
First-principles (GGA-PBE) data for a relaxed Na2PmPuSe4 crystal, as listed in the Alexandria database.

Output
Space group: No. 10
VASP energy in Ry/atom: -0.4407
Crystal system: monoclinic
Density of states at the Fermi level in states/eV/f.u.: 12.06

Unit cell a=7.344 b=4.242 c=7.393 alpha=90.00 beta=109.50 gamma=90.00
Sites, in units of the cell vectors:
1 Na 0.000 0.000 0.000
2 Na 0.500 0.500 0.000
3 Pm 0.000 0.500 0.500
4 Pu 0.500 0.000 0.500
5 Se 0.247 0.000 0.735
6 Se 0.260 0.500 0.269
7 Se 0.740 0.500 0.731
8 Se 0.753 0.000 0.265



(8)
First-principles (GGA-PBE) data for a relaxed Na2PmPu3Se6 crystal, as listed in the Alexandria database.

Output
Space group: No. 12
VASP energy in Ry/atom: -0.5497
Crystal system: monoclinic
Density of states at the Fermi level in states/eV/f.u.: 27.01

Unit cell a=7.280 b=7.280 c=7.277 alpha=99.58 beta=99.58 gamma=119.96
Sites, in units of the cell vectors:
1 Na 0.166 0.834 0.000
2 Na 0.834 0.166 0.000
3 Pm 0.500 0.500 0.000
4 Pu 0.000 0.000 0.500
5 Pu 0.331 0.669 0.500
6 Pu 0.669 0.331 0.500
7 Se 0.086 0.414 0.743
8 Se 0.258 0.258 0.258
9 Se 0.414 0.086 0.743
10 Se 0.586 0.914 0.257
11 Se 0.742 0.742 0.742
12 Se 0.914 0.586 0.257